1) Crystalline PrAl3Cu3 at its relaxed geometry. Source: Alexandria via LeMat-Bulk, functional GGA-PBE.

Summary:
* V: 17.12 Å³/atom
* SG: R-3m (166)

Unit cell a=6.870 b=6.870 c=6.870 alpha=62.02 beta=62.02 gamma=62.02
Fractional coordinates of all 14 atoms:
Pr (0.130, 0.130, 0.130)
Pr (0.870, 0.870, 0.870)
Al (0.183, 0.183, 0.564)
Al (0.183, 0.564, 0.183)
Al (0.436, 0.817, 0.817)
Al (0.564, 0.183, 0.183)
Al (0.817, 0.436, 0.817)
Al (0.817, 0.817, 0.436)
Cu (0.192, 0.559, 0.559)
Cu (0.441, 0.441, 0.808)
Cu (0.441, 0.808, 0.441)
Cu (0.559, 0.192, 0.559)
Cu (0.559, 0.559, 0.192)
Cu (0.808, 0.441, 0.441)

2) Crystalline PrAl3Cu3 at its relaxed geometry. Source: Alexandria via LeMat-Bulk, functional GGA-PBE.

Summary:
* V: 17.63 Å³/atom
* SG: P2_1/m (11)

Unit cell a=8.212 b=4.214 c=8.231 alpha=90.00 beta=119.92 gamma=90.00
Fractional coordinates of all 14 atoms:
Pr (0.166, 0.250, 0.333)
Pr (0.834, 0.750, 0.667)
Al (0.229, 0.250, 0.765)
Al (0.266, 0.750, 0.038)
Al (0.463, 0.750, 0.728)
Al (0.537, 0.250, 0.272)
Al (0.734, 0.250, 0.962)
Al (0.771, 0.750, 0.235)
Cu (0.059, 0.250, 0.946)
Cu (0.112, 0.750, 0.557)
Cu (0.446, 0.750, 0.388)
Cu (0.554, 0.250, 0.612)
Cu (0.888, 0.250, 0.443)
Cu (0.941, 0.750, 0.054)

The least stable of them is 2).

1) Crystalline AlCu2Pt2 at its relaxed geometry. Source: Alexandria via LeMat-Bulk, functional GGA-PBE.

Summary:
* V: 15.36 Å³/atom
* SG: P4/mbm (127)

Unit cell a=6.385 b=6.385 c=3.767 alpha=90.00 beta=90.00 gamma=90.00
Fractional coordinates of all 10 atoms:
Al (0.000, 0.000, 0.000)
Al (0.500, 0.500, 0.000)
Cu (0.153, 0.347, 0.500)
Cu (0.347, 0.847, 0.500)
Cu (0.653, 0.153, 0.500)
Cu (0.847, 0.653, 0.500)
Pt (0.146, 0.646, 0.000)
Pt (0.354, 0.146, 0.000)
Pt (0.646, 0.854, 0.000)
Pt (0.854, 0.354, 0.000)

2) Crystalline AlCu2Pt2 at its relaxed geometry. Source: Alexandria via LeMat-Bulk, functional GGA-PBE.

Summary:
* V: 16.17 Å³/atom
* SG: I4/mmm (139)

Unit cell a=6.300 b=6.300 c=6.300 alpha=145.26 beta=145.26 gamma=49.95
Fractional coordinates of all 5 atoms:
Al (0.000, 0.000, 0.000)
Cu (0.401, 0.401, 0.000)
Cu (0.599, 0.599, 0.000)
Pt (0.250, 0.750, 0.500)
Pt (0.750, 0.250, 0.500)

The least stable of them is 2).

1) Crystalline Al2CuPt2 at its relaxed geometry. Source: Alexandria via LeMat-Bulk, functional GGA-PBE.

Summary:
* V: 15.14 Å³/atom
* SG: P4/mbm (127)

Unit cell a=7.318 b=7.318 c=2.827 alpha=90.00 beta=90.00 gamma=90.00
Fractional coordinates of all 10 atoms:
Al (0.154, 0.346, 0.000)
Al (0.346, 0.846, 0.000)
Al (0.654, 0.154, 0.000)
Al (0.846, 0.654, 0.000)
Cu (0.000, 0.000, 0.500)
Cu (0.500, 0.500, 0.500)
Pt (0.145, 0.645, 0.500)
Pt (0.355, 0.145, 0.500)
Pt (0.645, 0.855, 0.500)
Pt (0.855, 0.355, 0.500)

2) Crystalline Al2CuPt2 at its relaxed geometry. Source: Alexandria via LeMat-Bulk, functional GGA-PBE.

Summary:
* V: 16.50 Å³/atom
* SG: I4/mmm (139)

Unit cell a=6.404 b=6.404 c=6.404 alpha=145.82 beta=145.82 gamma=49.11
Fractional coordinates of all 5 atoms:
Al (0.250, 0.750, 0.500)
Al (0.750, 0.250, 0.500)
Cu (0.000, 0.000, 0.000)
Pt (0.388, 0.388, 0.000)
Pt (0.612, 0.612, 0.000)

The least stable of them is 2).

1) Crystalline Al3CuPt at its relaxed geometry. Source: Alexandria via LeMat-Bulk, functional GGA-PBE.

Summary:
* V: 15.69 Å³/atom
* SG: P2_1/m (11)

Unit cell a=5.138 b=4.213 c=7.249 alpha=90.00 beta=90.26 gamma=90.00
Fractional coordinates of all 10 atoms:
Al (0.002, 0.250, 0.271)
Al (0.309, 0.750, 0.098)
Al (0.334, 0.250, 0.574)
Al (0.666, 0.750, 0.426)
Al (0.691, 0.250, 0.902)
Al (0.998, 0.750, 0.729)
Cu (0.178, 0.250, 0.909)
Cu (0.822, 0.750, 0.091)
Pt (0.497, 0.750, 0.754)
Pt (0.503, 0.250, 0.246)

2) Crystalline Al3CuPt at its relaxed geometry. Source: Alexandria via LeMat-Bulk, functional GGA-PBE.

Summary:
* V: 21.37 Å³/atom
* SG: Pm-3m (221)

Unit cell a=4.745 b=4.745 c=4.745 alpha=90.00 beta=90.00 gamma=90.00
Fractional coordinates of all 5 atoms:
Al (0.000, 0.000, 0.500)
Al (0.000, 0.500, 0.000)
Al (0.500, 0.000, 0.000)
Cu (0.500, 0.500, 0.500)
Pt (0.000, 0.000, 0.000)

The least stable of them is 2).

1) Crystalline AlCuPt4 at its relaxed geometry. Source: Alexandria via LeMat-Bulk, functional GGA-PBE.

Summary:
* V: 17.25 Å³/atom
* SG: Cmcm (63)

Unit cell a=8.940 b=8.940 c=5.363 alpha=90.00 beta=90.00 gamma=151.13
Fractional coordinates of all 12 atoms:
Al (0.076, 0.924, 0.750)
Al (0.924, 0.076, 0.250)
Cu (0.352, 0.648, 0.750)
Cu (0.648, 0.352, 0.250)
Pt (0.062, 0.938, 0.250)
Pt (0.203, 0.797, 0.001)
Pt (0.203, 0.797, 0.499)
Pt (0.349, 0.651, 0.250)
Pt (0.651, 0.349, 0.750)
Pt (0.797, 0.203, 0.501)
Pt (0.797, 0.203, 0.999)
Pt (0.938, 0.062, 0.750)

2) Crystalline AlCuPt4 at its relaxed geometry. Source: Alexandria via LeMat-Bulk, functional GGA-PBE.

Summary:
* V: 16.40 Å³/atom
* SG: Fddd (70)

Unit cell a=7.121 b=7.111 c=5.823 alpha=65.94 beta=65.76 gamma=48.31
Fractional coordinates of all 12 atoms:
Al (0.125, 0.125, 0.125)
Al (0.875, 0.875, 0.875)
Cu (0.375, 0.375, 0.375)
Cu (0.625, 0.625, 0.625)
Pt (0.000, 0.500, 0.248)
Pt (0.000, 0.500, 0.752)
Pt (0.248, 0.751, 0.000)
Pt (0.249, 0.752, 0.500)
Pt (0.500, 0.000, 0.249)
Pt (0.500, 0.000, 0.751)
Pt (0.751, 0.248, 0.500)
Pt (0.752, 0.249, 0.000)

The least stable of them is 1).

1) Crystalline RbAl3Cu at its relaxed geometry. Source: Alexandria via LeMat-Bulk, functional GGA-PBE.

Summary:
* V: 23.43 Å³/atom
* SG: Pm-3m (221)

Unit cell a=4.893 b=4.893 c=4.893 alpha=90.00 beta=90.00 gamma=90.00
Fractional coordinates of all 5 atoms:
Rb (0.000, 0.000, 0.000)
Al (0.000, 0.500, 0.500)
Al (0.500, 0.000, 0.500)
Al (0.500, 0.500, 0.000)
Cu (0.500, 0.500, 0.500)

2) Crystalline RbAl3Cu at its relaxed geometry. Source: Alexandria via LeMat-Bulk, functional GGA-PBE.

Summary:
* V: 42.82 Å³/atom
* SG: Pm-3m (221)

Unit cell a=5.982 b=5.982 c=5.982 alpha=90.00 beta=90.00 gamma=90.00
Fractional coordinates of all 5 atoms:
Rb (0.000, 0.000, 0.000)
Al (0.000, 0.000, 0.500)
Al (0.000, 0.500, 0.000)
Al (0.500, 0.000, 0.000)
Cu (0.500, 0.500, 0.500)

The least stable of them is 2).

1) Crystalline AlCuRe3 at its relaxed geometry. Source: Alexandria via LeMat-Bulk, functional GGA-PBE.

Summary:
* V: 17.55 Å³/atom
* SG: Pm-3m (221)

Unit cell a=4.444 b=4.444 c=4.444 alpha=90.00 beta=90.00 gamma=90.00
Fractional coordinates of all 5 atoms:
Al (0.000, 0.000, 0.000)
Cu (0.500, 0.500, 0.500)
Re (0.000, 0.500, 0.500)
Re (0.500, 0.000, 0.500)
Re (0.500, 0.500, 0.000)

2) Crystalline AlCuRe3 at its relaxed geometry. Source: Alexandria via LeMat-Bulk, functional GGA-PBE.

Summary:
* V: 17.44 Å³/atom
* SG: Pm-3m (221)

Unit cell a=4.435 b=4.435 c=4.435 alpha=90.00 beta=90.00 gamma=90.00
Fractional coordinates of all 5 atoms:
Al (0.000, 0.000, 0.000)
Cu (0.500, 0.500, 0.500)
Re (0.000, 0.000, 0.500)
Re (0.000, 0.500, 0.000)
Re (0.500, 0.000, 0.000)

The least stable of them is 2).

1) Crystalline AlCu2Re2 at its relaxed geometry. Source: Alexandria via LeMat-Bulk, functional GGA-PBE.

Summary:
* V: 15.12 Å³/atom
* SG: P4/mbm (127)

Unit cell a=6.644 b=6.644 c=3.425 alpha=90.00 beta=90.00 gamma=90.00
Fractional coordinates of all 10 atoms:
Al (0.000, 0.000, 0.000)
Al (0.500, 0.500, 0.000)
Cu (0.174, 0.326, 0.500)
Cu (0.326, 0.826, 0.500)
Cu (0.674, 0.174, 0.500)
Cu (0.826, 0.674, 0.500)
Re (0.126, 0.626, 0.000)
Re (0.374, 0.126, 0.000)
Re (0.626, 0.874, 0.000)
Re (0.874, 0.374, 0.000)

2) Crystalline AlCu2Re2 at its relaxed geometry. Source: Alexandria via LeMat-Bulk, functional GGA-PBE.

Summary:
* V: 14.86 Å³/atom
* SG: I4/mmm (139)

Unit cell a=6.865 b=6.865 c=6.865 alpha=151.34 beta=151.34 gamma=40.98
Fractional coordinates of all 5 atoms:
Al (0.000, 0.000, 0.000)
Cu (0.250, 0.750, 0.500)
Cu (0.750, 0.250, 0.500)
Re (0.406, 0.406, 0.000)
Re (0.594, 0.594, 0.000)

3) Crystalline AlCu2Re2 at its relaxed geometry. Source: Alexandria via LeMat-Bulk, functional GGA-PBE.

Summary:
* V: 13.70 Å³/atom
* SG: P4/mbm (127)

Unit cell a=5.924 b=5.924 c=3.905 alpha=90.00 beta=90.00 gamma=90.00
Fractional coordinates of all 10 atoms:
Al (0.000, 0.000, 0.000)
Al (0.500, 0.500, 0.000)
Cu (0.136, 0.364, 0.000)
Cu (0.364, 0.864, 0.000)
Cu (0.636, 0.136, 0.000)
Cu (0.864, 0.636, 0.000)
Re (0.164, 0.664, 0.500)
Re (0.336, 0.164, 0.500)
Re (0.664, 0.836, 0.500)
Re (0.836, 0.336, 0.500)

The least stable of them is 2).

1) Crystalline Al2CuRh at its relaxed geometry. Source: Alexandria via LeMat-Bulk, functional GGA-PBE.

Summary:
* V: 13.61 Å³/atom
* SG: Imm2 (44)

Unit cell a=4.863 b=4.863 c=4.863 alpha=137.62 beta=134.63 gamma=63.82
Fractional coordinates of all 4 atoms:
Al (0.000, 0.000, 0.000)
Al (0.744, 0.244, 0.500)
Cu (0.244, 0.744, 0.500)
Rh (0.497, 0.497, 0.000)

2) Crystalline Al2CuRh at its relaxed geometry. Source: Alexandria via LeMat-Bulk, functional GGA-PBE.

Summary:
* V: 13.51 Å³/atom
* SG: Fm-3m (225)

Unit cell a=4.244 b=4.244 c=4.244 alpha=60.00 beta=60.00 gamma=60.00
Fractional coordinates of all 4 atoms:
Al (0.250, 0.250, 0.250)
Al (0.750, 0.750, 0.750)
Cu (0.000, 0.000, 0.000)
Rh (0.500, 0.500, 0.500)

3) Crystalline Al2CuRh at its relaxed geometry. Source: Alexandria via LeMat-Bulk, functional GGA-PBE.

Summary:
* V: 13.73 Å³/atom
* SG: Cm (8)

Unit cell a=4.775 b=4.775 c=4.271 alpha=106.39 beta=106.39 gamma=36.20
Fractional coordinates of all 4 atoms:
Al (0.000, 0.000, 0.000)
Al (0.238, 0.238, 0.636)
Cu (0.743, 0.743, 0.142)
Rh (0.499, 0.499, 0.502)

4) Crystalline Al2CuRh at its relaxed geometry. Source: Alexandria via LeMat-Bulk, functional GGA-PBE.

Summary:
* V: 14.20 Å³/atom
* SG: R-3m (166)

Unit cell a=8.244 b=8.244 c=8.244 alpha=19.90 beta=19.90 gamma=19.90
Fractional coordinates of all 4 atoms:
Al (0.248, 0.248, 0.248)
Al (0.752, 0.752, 0.752)
Cu (0.000, 0.000, 0.000)
Rh (0.500, 0.500, 0.500)

The least stable of them is 4).

1) Crystalline Al2CuRh at its relaxed geometry. Source: Alexandria via LeMat-Bulk, functional GGA-PBE.

Summary:
* V: 15.73 Å³/atom
* SG: C2/m (12)

Unit cell a=5.664 b=5.664 c=2.738 alpha=103.85 beta=103.85 gamma=123.75
Fractional coordinates of all 4 atoms:
Al (0.244, 0.756, 0.000)
Al (0.756, 0.244, 0.000)
Cu (0.500, 0.500, 0.000)
Rh (0.000, 0.000, 0.000)

2) Crystalline Al2CuRh at its relaxed geometry. Source: Alexandria via LeMat-Bulk, functional GGA-PBE.

Summary:
* V: 13.49 Å³/atom
* SG: Cmmm (65)

Unit cell a=4.223 b=4.223 c=3.026 alpha=90.00 beta=90.00 gamma=90.19
Fractional coordinates of all 4 atoms:
Al (0.000, 0.500, 0.000)
Al (0.500, 0.000, 0.000)
Cu (0.000, 0.000, 0.500)
Rh (0.500, 0.500, 0.500)

The least stable of them is 1).